#a
## InGe2Br (GGA-PBE)

Data for a relaxed InGe2Br crystal.

Cell lengths 5.0908, 5.0908, 5.0908 Å; angles 60.00, 60.00, 60.00 degrees
Closest atoms and distances in Å follow each position.
Element x y z (fractional)
Ge 0.7500 0.7500 0.7500  4 In 3.12, 4 Br 3.12
In 0.5000 0.5000 0.5000  8 Ge 3.12
Ge 0.2500 0.2500 0.2500  4 In 3.12, 4 Br 3.12
Br 0.0000 0.0000 0.0000  8 Ge 3.12

## Properties
The space group is Fm-3m, No. 225. The density of states at the Fermi level is 0.780 states/eV/atom.

#b
## InGe2Br (GGA-PBE)

Data for a relaxed InGe2Br crystal.

Cell lengths 5.9616, 5.9616, 8.4721 Å; angles 69.40, 69.40, 90.00 degrees
Closest atoms and distances in Å follow each position.
Element x y z (fractional)
Ge 0.8750 0.8907 0.7500  2 In 2.75, 2 Br 2.85
Br 0.2500 0.7500 0.5000  4 Ge 2.85
Ge 0.1093 0.6250 0.2500  2 In 2.75, 2 Br 2.85
Ge 0.3750 0.3593 0.7500  2 In 2.75, 2 Br 2.85
In 0.7500 0.2500 0.5000  4 Ge 2.75
Ge 0.6407 0.1250 0.2500  2 In 2.75, 2 Br 2.85
In 0.0000 0.0000 0.0000  4 Ge 2.75
Br 0.5000 0.5000 0.0000  4 Ge 2.85

## Properties
The space group is I-42d, No. 122. The density of states at the Fermi level is 0.423 states/eV/atom.

Stability check: which of them is most stable? #a.

#a
## InGe3Br (GGA-PBE)

Data for a relaxed InGe3Br crystal.

Cell lengths 5.2381, 5.2381, 5.2381 Å; angles 90.00, 90.00, 90.00 degrees
Closest atoms and distances in Å follow each position.
Element x y z (fractional)
In 0.5000 0.5000 0.5000  12 Ge 3.70
Ge 0.0000 0.0000 0.5000  2 Br 2.62
Ge 0.5000 0.0000 0.0000  2 Br 2.62
Ge 0.0000 0.5000 0.0000  2 Br 2.62
Br 0.0000 0.0000 0.0000  6 Ge 2.62

## Properties
The space group is Pm-3m, No. 221. The density of states at the Fermi level is 0.533 states/eV/atom.

#b
## InGe3Br (GGA-PBE)

Data for a relaxed InGe3Br crystal.

Cell lengths 5.4127, 5.4127, 5.4127 Å; angles 90.00, 90.00, 90.00 degrees
Closest atoms and distances in Å follow each position.
Element x y z (fractional)
In 0.0000 0.0000 0.0000  6 Ge 2.71
Br 0.5000 0.5000 0.5000  12 Ge 3.83
Ge 0.5000 0.0000 0.0000  2 In 2.71
Ge 0.0000 0.0000 0.5000  2 In 2.71
Ge 0.0000 0.5000 0.0000  2 In 2.71

## Properties
The space group is Pm-3m, No. 221. The density of states at the Fermi level is 2.580 states/eV/atom.

Stability check: which of them is most stable? #b.

#a
## InGeBr2 (GGA-PBE)

Data for a relaxed InGeBr2 crystal.

Cell lengths 5.9244, 5.9244, 9.6673 Å; angles 72.16, 72.16, 90.00 degrees
Closest atoms and distances in Å follow each position.
Element x y z (fractional)
In 0.7500 0.2500 0.5000  4 Br 3.20
Br 0.3750 0.4330 0.7500  2 Ge 2.87, 2 In 3.20
Br 0.5670 0.1250 0.2500  2 Ge 2.87, 2 In 3.20
Ge 0.2500 0.7500 0.5000  4 Br 2.87
Br 0.8750 0.8170 0.7500  2 Ge 2.87, 2 In 3.20
Br 0.1830 0.6250 0.2500  2 Ge 2.87, 2 In 3.20
Ge 0.5000 0.5000 0.0000  4 Br 2.87
In 0.0000 0.0000 0.0000  4 Br 3.20

## Properties
The space group is I-42d, No. 122. The density of states at the Fermi level is 0.573 states/eV/atom.

#b
## InGeBr2 (GGA-PBE)

Data for a relaxed InGeBr2 crystal.

Cell lengths 5.3403, 5.3403, 5.3403 Å; angles 60.00, 60.00, 60.00 degrees
Closest atoms and distances in Å follow each position.
Element x y z (fractional)
In 0.5000 0.5000 0.5000  8 Br 3.27
Br 0.7500 0.7500 0.7500  4 In 3.27, 4 Ge 3.27
Ge 0.0000 0.0000 0.0000  8 Br 3.27
Br 0.2500 0.2500 0.2500  4 In 3.27, 4 Ge 3.27

## Properties
The space group is Fm-3m, No. 225. The density of states at the Fermi level is 0.581 states/eV/atom.

Stability check: which of them is most stable? #a.

#a
## In2GeBr4 (GGA-PBE)

Data for a relaxed In2GeBr4 crystal.

Cell lengths 5.5124, 5.5124, 9.0577 Å; angles 72.28, 72.28, 90.00 degrees
Closest atoms and distances in Å follow each position.
Element x y z (fractional)
Br 0.1714 0.1714 0.6572  1 Ge 2.80, 1 In 3.07
Br 0.5000 0.0000 0.0000  2 Ge 2.76
Ge 0.0000 0.0000 0.0000  6 Br 2.76-2.80
In 0.6410 0.6410 0.7179  1 Br 3.07
Br 0.0000 0.5000 0.0000  2 Ge 2.76
In 0.3590 0.3590 0.2821  1 Br 3.07
Br 0.8286 0.8286 0.3428  1 Ge 2.80, 1 In 3.07

## Properties
The space group is I4/mmm, No. 139.

#b
## In2GeBr4 (GGA-PBE)

Data for a relaxed In2GeBr4 crystal.

Cell lengths 7.6323, 8.0721, 8.8974 Å; angles 90.00, 115.40, 90.00 degrees
Closest atoms and distances in Å follow each position.
Element x y z (fractional)
Ge 0.0000 0.0000 0.0000  6 Br 2.80-2.81
In 0.8624 0.5538 0.7247  2 Br 3.15-3.20
In 0.1376 0.4462 0.2753  2 Br 3.15-3.20
Br 0.6723 0.4377 0.3446  1 Ge 2.81, 1 In 3.15
Br 0.7289 0.2500 0.9578  2 Ge 2.80
Ge 0.5000 0.5000 0.0000  6 Br 2.80-2.81
In 0.3624 0.9462 0.7247  2 Br 3.15-3.20
Br 0.1723 0.0623 0.3446  1 Ge 2.81, 1 In 3.15
Br 0.2711 0.7500 0.0422  2 Ge 2.80
In 0.6376 0.0538 0.2753  2 Br 3.15-3.20
Br 0.2289 0.2500 0.9578  2 Ge 2.80
Br 0.7711 0.7500 0.0422  2 Ge 2.80
Br 0.8277 0.9377 0.6554  1 Ge 2.81, 1 In 3.15
Br 0.3277 0.5623 0.6554  1 Ge 2.81, 1 In 3.15

## Properties
The space group is Cmce, No. 64.

Stability check: which of them is most stable? #b.

#a
## InGeSe2Br (GGA-PBE)

Data for a relaxed InGeSe2Br crystal.

Cell lengths 5.3186, 5.3186, 5.2661 Å; angles 90.00, 90.00, 90.00 degrees
Closest atoms and distances in Å follow each position.
Element x y z (fractional)
Br 0.0000 0.0000 0.5000  2 In 2.63
Se 0.5000 0.0000 0.0000  2 In 2.66
Ge 0.5000 0.5000 0.5000  8 Se 3.74, 4 Br 3.76
In 0.0000 0.0000 0.0000  2 Br 2.63, 4 Se 2.66
Se 0.0000 0.5000 0.0000  2 In 2.66

## Properties
The space group is P4/mmm, No. 123. The density of states at the Fermi level is 0.441 states/eV/atom.

#b
## InGeSe2Br (GGA-PBE)

Data for a relaxed InGeSe2Br crystal.

Cell lengths 5.5895, 5.5895, 5.1200 Å; angles 90.00, 90.00, 90.00 degrees
Closest atoms and distances in Å follow each position.
Element x y z (fractional)
Ge 0.0000 0.0000 0.5000  2 Br 2.56
Br 0.0000 0.0000 0.0000  2 Ge 2.56, 4 Se 2.79
In 0.5000 0.5000 0.5000  8 Se 3.79, 4 Ge 3.95
Se 0.5000 0.0000 0.0000  2 Br 2.79
Se 0.0000 0.5000 0.0000  2 Br 2.79

## Properties
The space group is P4/mmm, No. 123. The density of states at the Fermi level is 0.954 states/eV/atom.

Stability check: which of them is most stable? #a.

#a
## GeIr2Br (GGA-PBE)

Data for a relaxed GeIr2Br crystal.

Cell lengths 4.5060, 4.5060, 4.5060 Å; angles 60.00, 60.00, 60.00 degrees
Closest atoms and distances in Å follow each position.
Element x y z (fractional)
Ir 0.2500 0.2500 0.2500  4 Ge 2.76, 4 Br 2.76
Ir 0.7500 0.7500 0.7500  4 Ge 2.76, 4 Br 2.76
Br 0.5000 0.5000 0.5000  8 Ir 2.76
Ge 0.0000 0.0000 0.0000  8 Ir 2.76

## Properties
The space group is Fm-3m, No. 225. The density of states at the Fermi level is 1.610 states/eV/atom.

#b
## GeIr2Br (GGA-PBE)

Data for a relaxed GeIr2Br crystal.

Cell lengths 4.3050, 4.3050, 8.4695 Å; angles 75.28, 75.28, 90.00 degrees
Closest atoms and distances in Å follow each position.
Element x y z (fractional)
Ge 0.2500 0.7500 0.5000  4 Ir 2.47
Ge 0.5000 0.5000 0.0000  4 Ir 2.47
Br 0.7500 0.2500 0.5000  4 Ir 2.51
Ir 0.1359 0.6250 0.2500  2 Ge 2.47, 2 Br 2.51
Ir 0.8750 0.8641 0.7500  2 Ge 2.47, 2 Br 2.51
Ir 0.6141 0.1250 0.2500  2 Ge 2.47, 2 Br 2.51
Br 0.0000 0.0000 0.0000  4 Ir 2.51
Ir 0.3750 0.3859 0.7500  2 Ge 2.47, 2 Br 2.51

## Properties
The space group is I-42d, No. 122. The density of states at the Fermi level is 0.761 states/eV/atom.

Stability check: which of them is most stable? #b.

#a
## Ge3IrBr (GGA-PBE)

Data for a relaxed Ge3IrBr crystal.

Cell lengths 4.8820, 4.8820, 4.8820 Å; angles 90.00, 90.00, 90.00 degrees
Closest atoms and distances in Å follow each position.
Element x y z (fractional)
Br 0.5000 0.5000 0.5000  12 Ge 3.45
Ir 0.0000 0.0000 0.0000  6 Ge 2.44
Ge 0.5000 0.0000 0.0000  2 Ir 2.44
Ge 0.0000 0.5000 0.0000  2 Ir 2.44
Ge 0.0000 0.0000 0.5000  2 Ir 2.44

## Properties
The space group is Pm-3m, No. 221. The density of states at the Fermi level is 1.137 states/eV/atom.

#b
## Ge3IrBr (GGA-PBE)

Data for a relaxed Ge3IrBr crystal.

Cell lengths 4.9809, 4.9809, 4.9809 Å; angles 90.00, 90.00, 90.00 degrees
Closest atoms and distances in Å follow each position.
Element x y z (fractional)
Ge 0.0000 0.0000 0.5000  2 Br 2.49
Ge 0.0000 0.5000 0.0000  2 Br 2.49
Ge 0.5000 0.0000 0.0000  2 Br 2.49
Br 0.0000 0.0000 0.0000  6 Ge 2.49
Ir 0.5000 0.5000 0.5000  12 Ge 3.52

## Properties
The space group is Pm-3m, No. 221. The density of states at the Fermi level is 1.016 states/eV/atom.

Stability check: which of them is most stable? #a.

#a
## GeIrSe2Br (GGA-PBE)

Data for a relaxed GeIrSe2Br crystal.

Cell lengths 4.9746, 4.9746, 5.0218 Å; angles 90.00, 90.00, 90.00 degrees
Closest atoms and distances in Å follow each position.
Element x y z (fractional)
Se 0.0000 0.5000 0.0000  2 Ge 2.49
Se 0.5000 0.0000 0.0000  2 Ge 2.49
Ge 0.0000 0.0000 0.0000  4 Se 2.49, 2 Br 2.51
Ir 0.5000 0.5000 0.5000  4 Br 3.52, 8 Se 3.53
Br 0.0000 0.0000 0.5000  2 Ge 2.51

## Properties
The space group is P4/mmm, No. 123. The density of states at the Fermi level is 1.094 states/eV/atom.

#b
## GeIrSe2Br (GGA-PBE)

Data for a relaxed GeIrSe2Br crystal.

Cell lengths 4.9342, 4.9342, 5.0292 Å; angles 90.00, 90.00, 90.00 degrees
Closest atoms and distances in Å follow each position.
Element x y z (fractional)
Br 0.0000 0.0000 0.5000  2 Ir 2.51
Se 0.5000 0.0000 0.0000  2 Ir 2.47
Se 0.0000 0.5000 0.0000  2 Ir 2.47
Ge 0.5000 0.5000 0.5000  4 Br 3.49, 8 Se 3.52
Ir 0.0000 0.0000 0.0000  4 Se 2.47, 2 Br 2.51

## Properties
The space group is P4/mmm, No. 123. The density of states at the Fermi level is 1.008 states/eV/atom.

Stability check: which of them is most stable? #b.

#a
## KGe3Br (GGA-PBE)

Data for a relaxed KGe3Br crystal.

Cell lengths 5.3734, 5.3734, 5.3734 Å; angles 90.00, 90.00, 90.00 degrees
Closest atoms and distances in Å follow each position.
Element x y z (fractional)
Br 0.0000 0.0000 0.0000  6 Ge 2.69
Ge 0.5000 0.0000 0.0000  2 Br 2.69
Ge 0.0000 0.5000 0.0000  2 Br 2.69
K 0.5000 0.5000 0.5000  12 Ge 3.80
Ge 0.0000 0.0000 0.5000  2 Br 2.69

## Properties
The space group is Pm-3m, No. 221. The density of states at the Fermi level is 0.460 states/eV/atom.

#b
## KGe3Br (GGA-PBE)

Data for a relaxed KGe3Br crystal.

Cell lengths 5.8226, 5.8226, 5.8226 Å; angles 90.00, 90.00, 90.00 degrees
Closest atoms and distances in Å follow each position.
Element x y z (fractional)
Ge 0.5000 0.0000 0.0000  2 K 2.91
Ge 0.0000 0.0000 0.5000  2 K 2.91
Br 0.5000 0.5000 0.5000  12 Ge 4.12
Ge 0.0000 0.5000 0.0000  2 K 2.91
K 0.0000 0.0000 0.0000  6 Ge 2.91

## Properties
The space group is Pm-3m, No. 221. The density of states at the Fermi level is 1.233 states/eV/atom.

Stability check: which of them is most stable? #a.

#a
## K2Ge2Br7 (GGA-PBE)

Data for a relaxed K2Ge2Br7 crystal.

Cell lengths 8.6909, 9.2588, 8.6909 Å; angles 83.21, 75.17, 96.79 degrees
Closest atoms and distances in Å follow each position.
Element x y z (fractional)
K 0.3202 0.5000 0.3202  6 Br 3.32-3.41
Br 0.4458 0.2432 0.5542  1 Ge 2.56
Br 0.3285 0.3943 0.9552  1 Ge 2.51
Br 0.9552 0.6057 0.3285  1 Ge 2.51
Br 0.0000 0.0000 0.0000  2 Ge 2.71
Ge 0.2026 0.2288 0.7974  4 Br 2.51-2.71
K 0.6798 0.5000 0.6798  6 Br 3.32-3.41
Br 0.6715 0.6057 0.0448  1 Ge 2.51
Br 0.5542 0.7568 0.4458  1 Ge 2.56
Br 0.0448 0.3943 0.6715  1 Ge 2.51
Ge 0.7974 0.7712 0.2026  4 Br 2.51-2.71

## Properties
The space group is C2/m, No. 12. The density of states at the Fermi level is 0.496 states/eV/atom.

#b
## K2Ge2Br7 (GGA-PBE)

Data for a relaxed K2Ge2Br7 crystal.

Cell lengths 6.6890, 8.6167, 8.6167 Å; angles 96.55, 99.57, 99.57 degrees
Closest atoms and distances in Å follow each position.
Element x y z (fractional)
Br 0.2032 0.0960 0.4065  1 Ge 2.53
K 0.0000 0.7102 0.2898  6 Br 3.34-3.52
Ge 0.5856 0.7810 0.7810  4 Br 2.51-2.71
Br 0.2032 0.4065 0.0960  1 Ge 2.53
Br 0.2838 0.5992 0.5992  1 Ge 2.51
Br 0.7968 0.5935 0.9040  1 Ge 2.53
K 0.0000 0.2898 0.7102  6 Br 3.34-3.52
Ge 0.4144 0.2190 0.2190  4 Br 2.51-2.71
Br 0.7968 0.9040 0.5935  1 Ge 2.53
Br 0.5000 0.0000 0.0000  2 Ge 2.71
Br 0.7162 0.4008 0.4008  1 Ge 2.51

## Properties
The space group is C2/m, No. 12. The density of states at the Fermi level is 0.389 states/eV/atom.

Stability check: which of them is most stable? #b.

#a
## KGeSe2Br (GGA-PBE)

Data for a relaxed KGeSe2Br crystal.

Cell lengths 5.7833, 5.7833, 5.6908 Å; angles 90.00, 90.00, 90.00 degrees
Closest atoms and distances in Å follow each position.
Element x y z (fractional)
Se 0.5000 0.0000 0.0000  2 K 2.89
Se 0.0000 0.5000 0.0000  2 K 2.89
Ge 0.5000 0.5000 0.5000  8 Se 4.06, 4 Br 4.09
Br 0.0000 0.0000 0.5000  2 K 2.85
K 0.0000 0.0000 0.0000  2 Br 2.85, 4 Se 2.89

## Properties
The space group is P4/mmm, No. 123. The density of states at the Fermi level is 1.096 states/eV/atom.

#b
## KGeSe2Br (GGA-PBE)

Data for a relaxed KGeSe2Br crystal.

Cell lengths 5.0270, 5.0270, 5.8336 Å; angles 90.00, 90.00, 90.00 degrees
Closest atoms and distances in Å follow each position.
Element x y z (fractional)
Se 0.5000 0.0000 0.0000  2 Ge 2.51
K 0.5000 0.5000 0.5000  4 Br 3.55, 8 Se 3.85
Se 0.0000 0.5000 0.0000  2 Ge 2.51
Br 0.0000 0.0000 0.5000  2 Ge 2.92
Ge 0.0000 0.0000 0.0000  4 Se 2.51

## Properties
The space group is P4/mmm, No. 123. The density of states at the Fermi level is 0.376 states/eV/atom.

Stability check: which of them is most stable? #b.

#a
## LaPmGeBr (GGA-PBE)

Data for a relaxed LaPmGeBr crystal.

Cell lengths 5.1368, 5.1683, 6.0186 Å; angles 90.00, 90.00, 119.80 degrees
Closest atoms and distances in Å follow each position.
Element x y z (fractional)
La 0.1691 0.3382 0.5000  3 Br 2.98, 2 Ge 3.01
Br 0.8373 0.6745 0.5000  3 La 2.98, 2 Pm 3.01
Pm 0.8369 0.6739 0.0000  3 Ge 2.98, 2 Br 3.01
Ge 0.1691 0.3381 0.0000  3 Pm 2.98, 2 La 3.01

## Properties
The space group is Amm2, No. 38. The density of states at the Fermi level is 0.507 states/eV/atom.

#b
## LaPmGeBr (GGA-PBE)

Data for a relaxed LaPmGeBr crystal.

Cell lengths 5.2902, 5.2902, 5.2902 Å; angles 60.00, 60.00, 60.00 degrees
Closest atoms and distances in Å follow each position.
Element x y z (fractional)
Br 0.2500 0.2500 0.2500  4 La 3.24, 4 Pm 3.24
Pm 0.0000 0.0000 0.0000  4 Ge 3.24, 4 Br 3.24
La 0.5000 0.5000 0.5000  4 Br 3.24, 4 Ge 3.24
Ge 0.7500 0.7500 0.7500  4 Pm 3.24, 4 La 3.24

## Properties
The space group is F-43m, No. 216. The density of states at the Fermi level is 0.617 states/eV/atom.

Stability check: which of them is most stable? #b.

#a
## LiGe2Br (GGA-PBE)

Data for a relaxed LiGe2Br crystal.

Cell lengths 4.9477, 4.9477, 4.9477 Å; angles 60.00, 60.00, 60.00 degrees
Closest atoms and distances in Å follow each position.
Element x y z (fractional)
Ge 0.7500 0.7500 0.7500  4 Li 3.03, 4 Br 3.03
Br 0.5000 0.5000 0.5000  8 Ge 3.03
Li 0.0000 0.0000 0.0000  8 Ge 3.03
Ge 0.2500 0.2500 0.2500  4 Br 3.03, 4 Li 3.03

## Properties
The space group is Fm-3m, No. 225. The density of states at the Fermi level is 0.515 states/eV/atom.

#b
## LiGe2Br (GGA-PBE)

Data for a relaxed LiGe2Br crystal.

Cell lengths 3.6547, 3.6547, 14.5861 Å; angles 82.80, 82.80, 90.00 degrees
Closest atoms and distances in Å follow each position.
Element x y z (fractional)
Ge 0.1346 0.6250 0.2500  4 Ge 2.54-2.63
Br 0.0000 0.0000 0.0000  4 Li 2.58
Li 0.5000 0.5000 0.0000  4 Br 2.58
Br 0.7500 0.2500 0.5000  4 Li 2.58
Ge 0.3750 0.3846 0.7500  4 Ge 2.54-2.63
Ge 0.6154 0.1250 0.2500  4 Ge 2.54-2.63
Ge 0.8750 0.8654 0.7500  4 Ge 2.54-2.63
Li 0.2500 0.7500 0.5000  4 Br 2.58

## Properties
The space group is I-42d, No. 122. The density of states at the Fermi level is 0.318 states/eV/atom.

Stability check: which of them is most stable? #b.